Below is Sm7Sc after structural relaxation, with properties calculated at the PBE level.

abc: 3.526 8.814 8.814
angles: 79.15 78.48 78.48
Fractional coordinates of all 8 atoms:
Sm1 0.371 0.868 0.390
Sm2 0.629 0.132 0.610
Sm3 0.629 0.610 0.132
Sm4 0.739 0.761 0.761
Sm5 0.000 0.500 0.500
Sm6 0.371 0.390 0.868
Sm7 0.261 0.239 0.239
Sc1 0.000 0.000 0.000

Calculated values
SG: Immm
DOS at the Fermi energy (states/eV/cell): 11.99

Below is SmSc5 after structural relaxation, with properties calculated at the PBE level.

abc: 5.738 6.637 9.927
angles: 90.00 90.00 125.19
Fractional coordinates of all 12 atoms:
Sc1 0.750 0.500 0.583
Sc2 0.750 0.000 0.250
Sc3 0.750 0.000 0.919
Sc4 0.250 0.500 0.417
Sc5 0.250 0.000 0.081
Sc6 0.250 0.000 0.419
Sc7 0.250 0.000 0.750
Sc8 0.250 0.500 0.083
Sc9 0.750 0.000 0.581
Sc10 0.750 0.500 0.917
Sm1 0.251 0.500 0.750
Sm2 0.749 0.500 0.250

Calculated values
SG: P2_1/m
DOS at the Fermi energy (states/eV/cell): 19.17

Below is SmSc4 after structural relaxation, with properties calculated at the PBE level.

abc: 5.200 5.200 5.200
angles: 90.00 90.00 90.00
Fractional coordinates of all 5 atoms:
Sc1 0.000 0.000 0.000
Sc2 0.500 0.500 0.000
Sc3 0.000 0.500 0.500
Sc4 0.500 0.000 0.500
Sm1 0.500 0.500 0.500

Calculated values
SG: Pm-3m
DOS at the Fermi energy (states/eV/cell): 7.44

Below is Sm3Sc5 after structural relaxation, with properties calculated at the PBE level.

abc: 3.426 3.426 18.938
angles: 90.00 90.00 90.00
Fractional coordinates of all 8 atoms:
Sc1 0.500 0.500 0.500
Sc2 0.500 0.500 0.728
Sc3 0.000 0.000 0.386
Sc4 0.000 0.000 0.614
Sc5 0.500 0.500 0.272
Sm1 0.500 0.500 0.000
Sm2 0.000 0.000 0.858
Sm3 0.000 0.000 0.142

Calculated values
SG: P4/mmm
DOS at the Fermi energy (states/eV/cell): 14.67

Below is Sm5Sc2 after structural relaxation, with properties calculated at the PBE level.

abc: 6.210 9.105 8.376
angles: 95.20 111.76 90.00
Fractional coordinates of all 14 atoms:
Sm1 0.311 0.462 0.272
Sm2 0.122 0.677 0.565
Sm3 0.557 0.823 0.435
Sm4 0.878 0.323 0.435
Sm5 0.443 0.177 0.565
Sm6 0.039 0.038 0.728
Sm7 0.961 0.962 0.272
Sm8 0.825 0.250 0.000
Sm9 0.175 0.750 0.000
Sm10 0.689 0.538 0.728
Sc1 0.409 0.107 0.138
Sc2 0.591 0.893 0.862
Sc3 0.271 0.393 0.862
Sc4 0.729 0.607 0.138

Calculated values
SG: C2/c
DOS at the Fermi energy (states/eV/cell): 24.41

Below is SmSc2 after structural relaxation, with properties calculated at the PBE level.

abc: 6.327 6.327 6.327
angles: 60.00 60.00 60.00
Last column: magnetic moment on the atom in μB.
Fractional coordinates of all 6 atoms:
Sm1 0.000 0.000 0.000  0.49
Sm2 0.250 0.250 0.250  0.49
Sc1 0.625 0.625 0.625  0.58
Sc2 0.625 0.125 0.625  0.58
Sc3 0.125 0.625 0.625  0.58
Sc4 0.625 0.625 0.125  0.58

Calculated values
SG: Fd-3m
DOS at the Fermi energy (states/eV/cell): 12.70

Below is Sm3Sc after structural relaxation, with properties calculated at the PBE level.

abc: 3.610 6.167 6.709
angles: 117.36 105.60 90.00
Fractional coordinates of all 4 atoms:
Sm1 0.500 0.493 0.000
Sm2 0.257 0.595 0.515
Sm3 0.743 0.080 0.485
Sc1 0.000 0.999 0.000

Calculated values
SG: Imm2
DOS at the Fermi energy (states/eV/cell): 7.00

Below is Sm3Sc after structural relaxation, with properties calculated at the PBE level.

abc: 5.626 5.626 5.626
angles: 60.00 60.00 60.00
Fractional coordinates of all 4 atoms:
Sc1 0.500 0.500 0.500
Sm1 0.750 0.750 0.750
Sm2 0.250 0.250 0.250
Sm3 0.000 0.000 0.000

Calculated values
SG: Fm-3m
DOS at the Fermi energy (states/eV/cell): 8.74

Below is SmSc8 after structural relaxation, with properties calculated at the PBE level.

abc: 4.655 7.379 7.379
angles: 84.29 71.61 71.61
Fractional coordinates of all 9 atoms:
Sc1 0.670 0.000 0.661
Sc2 0.670 0.661 0.000
Sc3 0.330 0.000 0.339
Sc4 0.000 0.664 0.336
Sc5 0.330 0.339 0.000
Sc6 0.664 0.336 0.336
Sc7 0.336 0.664 0.664
Sc8 0.000 0.336 0.664
Sm1 0.000 0.000 0.000

Calculated values
SG: I4/mmm
DOS at the Fermi energy (states/eV/cell): 15.42

Below is Sm6Sc5 after structural relaxation, with properties calculated at the PBE level.

abc: 9.826 8.045 5.764
angles: 75.48 65.76 52.36
Fractional coordinates of all 11 atoms:
Sm1 0.043 0.293 0.860
Sm2 0.187 0.000 0.374
Sm3 0.813 0.000 0.626
Sm4 0.336 0.707 0.860
Sm5 0.664 0.293 0.140
Sm6 0.957 0.707 0.140
Sc1 0.500 0.000 0.500
Sc2 0.375 0.250 0.000
Sc3 0.236 0.528 0.500
Sc4 0.764 0.472 0.500
Sc5 0.625 0.750 0.000

Calculated values
SG: C2/m
DOS at the Fermi energy (states/eV/cell): 17.97

Below is Sm4Sc3 after structural relaxation, with properties calculated at the PBE level.

abc: 3.512 4.782 12.654
angles: 100.89 97.98 90.00
Fractional coordinates of all 7 atoms:
Sm1 0.571 0.071 0.141
Sm2 0.429 0.929 0.859
Sm3 0.711 0.211 0.422
Sm4 0.289 0.789 0.578
Sc1 0.000 0.500 0.000
Sc2 0.141 0.641 0.282
Sc3 0.859 0.359 0.718

Calculated values
SG: Immm
DOS at the Fermi energy (states/eV/cell): 11.35

Below is Sm3Sc2Sn3 after structural relaxation, with properties calculated at the PBE level.

abc: 6.359 8.933 8.933
angles: 120.00 90.00 90.00
Fractional coordinates of all 16 atoms:
Sc1 0.500 0.667 0.333
Sc2 0.500 0.333 0.667
Sc3 0.000 0.667 0.333
Sc4 0.000 0.333 0.667
Sn1 0.250 0.000 0.402
Sn2 0.750 0.598 0.000
Sn3 0.250 0.402 0.000
Sn4 0.750 0.402 0.402
Sn5 0.250 0.598 0.598
Sn6 0.750 0.000 0.598
Sm1 0.250 0.241 0.241
Sm2 0.250 0.759 0.000
Sm3 0.750 0.000 0.241
Sm4 0.750 0.241 0.000
Sm5 0.750 0.759 0.759
Sm6 0.250 0.000 0.759

Calculated values
SG: P6_3/mcm
DOS at the Fermi energy (states/eV/cell): 16.27

Number 1: size of the total moment 0.00 Bohr magnetons per cell, raw total energy -38.8 eV for the cell shown. Number 2: size of the total moment 0.00 Bohr magnetons per cell, raw total energy -72.1 eV for the cell shown. Number 3: size of the total moment 0.00 Bohr magnetons per cell, raw total energy -26.0 eV for the cell shown. Number 4: size of the total moment 0.00 Bohr magnetons per cell, raw total energy -45.3 eV for the cell shown. Number 5: size of the total moment 0.00 Bohr magnetons per cell, raw total energy -71.9 eV for the cell shown. Number 6: size of the total moment 6.60 Bohr magnetons per cell, raw total energy -33.4 eV for the cell shown. Number 7: size of the total moment 0.01 Bohr magnetons per cell, raw total energy -20.3 eV for the cell shown. Number 8: size of the total moment 0.00 Bohr magnetons per cell, raw total energy -19.9 eV for the cell shown. Number 9: size of the total moment 0.00 Bohr magnetons per cell, raw total energy -54.9 eV for the cell shown. Number 10: size of the total moment 0.00 Bohr magnetons per cell, raw total energy -58.4 eV for the cell shown. Number 11: size of the total moment 0.00 Bohr magnetons per cell, raw total energy -37.5 eV for the cell shown. Number 12: size of the total moment 0.00 Bohr magnetons per cell, raw total energy -89.0 eV for the cell shown.